Entry 1:
VASP calculation (PBE) on a relaxed MgMn2Cr crystal.

abc: 4.8635 4.8635 4.8635
angles: 141.76 125.71 68.34
Fractional coordinates of all 4 atoms:
Mg1 0.0000 0.0000 0.0000
Mn1 0.2750 0.7750 0.5000
Mn2 0.7250 0.2250 0.5000
Cr1 0.5000 0.5000 0.0000

Its crystal system is orthorhombic. The formation enthalpy at 0 K is 0.310 eV/atom. As for the symmetry: Immm (71).

***

Entry 2:
VASP calculation (PBE) on a relaxed Pm3ThPb5 crystal.

abc: 9.7805 9.7805 6.5970
angles: 90.00 90.00 120.00
Fractional coordinates of all 18 atoms:
Pm1 0.0000 0.3762 0.2500
Pm2 0.0000 0.6238 0.7500
Pm3 0.3762 0.0000 0.2500
Pm4 0.3762 0.3762 0.7500
Pm5 0.6238 0.0000 0.7500
Pm6 0.6238 0.6238 0.2500
Th1 0.0000 0.0000 0.0000
Th2 0.0000 0.0000 0.5000
Pb1 0.0000 0.2962 0.7500
Pb2 0.0000 0.7038 0.2500
Pb3 0.2962 0.0000 0.7500
Pb4 0.2962 0.2962 0.2500
Pb5 0.3333 0.6667 0.0000
Pb6 0.3333 0.6667 0.5000
Pb7 0.6667 0.3333 0.0000
Pb8 0.6667 0.3333 0.5000
Pb9 0.7038 0.0000 0.2500
Pb10 0.7038 0.7038 0.7500

Its crystal system is hexagonal. The formation enthalpy at 0 K is -0.427 eV/atom. As for the symmetry: P6_3/mcm (193).

***

Entry 3:
VASP calculation (PBE) on a relaxed Zr2CuSbPd crystal.

abc: 5.0446 5.0446 4.6483
angles: 90.00 90.00 90.00
Fractional coordinates of all 5 atoms:
Zr1 0.0000 0.5000 0.0000
Zr2 0.5000 0.0000 0.0000
Cu1 0.0000 0.0000 0.5000
Sb1 0.5000 0.5000 0.5000
Pd1 0.0000 0.0000 0.0000

Its crystal system is tetragonal. The calculation puts the formation energy without anion corrections at 0.219 eV/atom. As for the symmetry: P4/mmm (123).

***

Entry 4:
VASP calculation (PBE) on a relaxed Ce5HoRu6 crystal.

abc: 7.7286 7.7286 6.9153
angles: 90.02 90.02 143.64
Fractional coordinates of all 12 atoms:
Ce1 0.0000 0.0000 0.0000
Ce2 0.3342 0.6658 0.0000
Ce3 0.3350 0.6650 0.5000
Ce4 0.6650 0.3350 0.5000
Ce5 0.6658 0.3342 0.0000
Ho1 0.0000 0.0000 0.5000
Ru1 0.1697 0.8267 0.7448
Ru2 0.1733 0.8303 0.2552
Ru3 0.4982 0.4982 0.2315
Ru4 0.5018 0.5018 0.7685
Ru5 0.8267 0.1697 0.7448
Ru6 0.8303 0.1733 0.2552

Its crystal system is monoclinic. The formation enthalpy at 0 K is -0.331 eV/atom. As for the symmetry: C2/m (12).

***

Entry 5:
VASP calculation (PBE) on a relaxed La2Y3Ag3 crystal.

abc: 11.7258 11.7258 11.7258
angles: 161.89 154.03 31.84
Fractional coordinates of all 8 atoms:
La1 0.2275 0.2275 0.0000
La2 0.7725 0.7725 0.0000
Y1 0.0000 0.0000 0.0000
Y2 0.3845 0.8845 0.5000
Y3 0.6155 0.1155 0.5000
Ag1 0.1087 0.6087 0.5000
Ag2 0.5000 0.5000 0.0000
Ag3 0.8913 0.3913 0.5000

Its crystal system is orthorhombic. The formation enthalpy at 0 K is -0.189 eV/atom. As for the symmetry: Immm (71).

***

Entry 6:
VASP calculation (PBE) on a relaxed Sr3Li2Zn3 crystal.

abc: 8.5507 16.4825 6.4690
angles: 90.00 90.00 90.00
Fractional coordinates of all 32 atoms:
Sr1 0.0338 0.1049 0.1398
Sr2 0.0338 0.3951 0.1398
Sr3 0.1760 0.2500 0.6168
Sr4 0.3240 0.7500 0.1168
Sr5 0.4662 0.6049 0.6398
Sr6 0.4662 0.8951 0.6398
Sr7 0.5338 0.1049 0.3602
Sr8 0.5338 0.3951 0.3602
Sr9 0.6760 0.2500 0.8832
Sr10 0.8240 0.7500 0.3832
Sr11 0.9662 0.6049 0.8602
Sr12 0.9662 0.8951 0.8602
Li1 0.1214 0.5952 0.3723
Li2 0.1214 0.9048 0.3723
Li3 0.3786 0.0952 0.8723
Li4 0.3786 0.4048 0.8723
Li5 0.6214 0.5952 0.1277
Li6 0.6214 0.9048 0.1277
Li7 0.8786 0.0952 0.6277
Li8 0.8786 0.4048 0.6277
Zn1 0.1748 0.0399 0.5992
Zn2 0.1748 0.4601 0.5992
Zn3 0.1788 0.7500 0.6035
Zn4 0.3212 0.2500 0.1035
Zn5 0.3252 0.5399 0.0992
Zn6 0.3252 0.9601 0.0992
Zn7 0.6748 0.0399 0.9008
Zn8 0.6748 0.4601 0.9008
Zn9 0.6788 0.7500 0.8965
Zn10 0.8212 0.2500 0.3965
Zn11 0.8252 0.5399 0.4008
Zn12 0.8252 0.9601 0.4008

Its crystal system is orthorhombic. The formation enthalpy at 0 K is -0.125 eV/atom. As for the symmetry: Pnma (62).

***

Entry 7:
VASP calculation (PBE) on a relaxed La6TlPd crystal.

abc: 5.0343 7.2178 7.2178
angles: 81.72 90.00 90.00
Fractional coordinates of all 8 atoms:
La1 0.0000 0.0000 0.0000
La2 0.0000 0.1199 0.4785
La3 0.0000 0.4785 0.1199
La4 0.5000 0.3168 0.7638
La5 0.5000 0.7638 0.3168
La6 0.5000 0.7954 0.7954
Tl1 0.0000 0.5924 0.5924
Pd1 0.5000 0.1872 0.1872

Its crystal system is orthorhombic. The formation enthalpy at 0 K is -0.249 eV/atom. As for the symmetry: Amm2 (38).

***

Entry 8:
VASP calculation (PBE) on a relaxed Mg8Cd2Ag3 crystal.

abc: 7.5778 7.5778 5.1877
angles: 106.16 106.16 80.51
Fractional coordinates of all 13 atoms:
Mg1 0.0756 0.0756 0.3084
Mg2 0.1138 0.5809 0.8577
Mg3 0.3612 0.3612 0.4273
Mg4 0.4191 0.8862 0.1423
Mg5 0.5809 0.1138 0.8577
Mg6 0.6388 0.6388 0.5727
Mg7 0.8862 0.4191 0.1423
Mg8 0.9244 0.9244 0.6916
Cd1 0.1926 0.1926 0.8828
Cd2 0.8074 0.8074 0.1172
Ag1 0.2479 0.7521 0.5000
Ag2 0.5000 0.5000 0.0000
Ag3 0.7521 0.2479 0.5000

Its crystal system is monoclinic. The formation enthalpy at 0 K is -0.067 eV/atom. As for the symmetry: C2/m (12).

***

Entry 9:
VASP calculation (PBE) on a relaxed PuTlPd crystal.

abc: 6.2651 6.2651 6.2651
angles: 148.03 148.03 45.84
Fractional coordinates of all 3 atoms:
Pu1 0.0000 0.0000 0.0000
Tl1 0.2993 0.2993 0.0000
Pd1 0.6569 0.6569 0.0000

Its crystal system is tetragonal. The formation enthalpy at 0 K is -0.218 eV/atom. As for the symmetry: I4mm (107).

***

Entry 10:
VASP calculation (PBE) on a relaxed SmHo2Tm8 crystal.

abc: 8.9982 8.9982 8.2445
angles: 115.17 115.17 34.75
Fractional coordinates of all 11 atoms:
Sm1 0.0000 0.0000 0.0000
Ho1 0.2984 0.2984 0.3412
Ho2 0.7016 0.7016 0.6588
Tm1 0.1183 0.1183 0.4429
Tm2 0.1660 0.1660 0.8929
Tm3 0.3404 0.3404 0.8023
Tm4 0.4819 0.4819 0.2777
Tm5 0.5181 0.5181 0.7223
Tm6 0.6596 0.6596 0.1977
Tm7 0.8340 0.8340 0.1071
Tm8 0.8817 0.8817 0.5571

Its crystal system is monoclinic. The formation enthalpy at 0 K is 0.105 eV/atom. As for the symmetry: C2/m (12).

***

Entry 11:
VASP calculation (PBE) on a relaxed IrW crystal.

abc: 7.5399 7.5399 4.9840
angles: 90.00 90.00 120.00
Fractional coordinates of all 12 atoms:
Ir1 0.0000 0.2980 0.2500
Ir2 0.0000 0.7020 0.7500
Ir3 0.2980 0.0000 0.2500
Ir4 0.2980 0.2980 0.7500
Ir5 0.7020 0.0000 0.7500
Ir6 0.7020 0.7020 0.2500
W1 0.0000 0.3693 0.7500
W2 0.0000 0.6307 0.2500
W3 0.3693 0.0000 0.7500
W4 0.3693 0.3693 0.2500
W5 0.6307 0.0000 0.2500
W6 0.6307 0.6307 0.7500

Its crystal system is hexagonal. The formation enthalpy at 0 K is 0.844 eV/atom. As for the symmetry: P6_3/mcm (193).

***

Entry 12:
VASP calculation (PBE) on a relaxed Er9Tm4Cd11 crystal.

abc: 13.7473 13.7473 3.4692
angles: 90.00 90.00 108.23
Fractional coordinates of all 24 atoms:
Er1 0.0000 0.0000 0.0000
Er2 0.1178 0.6562 0.0000
Er3 0.2948 0.4820 0.0000
Er4 0.3438 0.8822 0.0000
Er5 0.4820 0.2948 0.0000
Er6 0.5180 0.7052 0.0000
Er7 0.6562 0.1178 0.0000
Er8 0.7052 0.5180 0.0000
Er9 0.8822 0.3438 0.0000
Tm1 0.0845 0.2500 0.0000
Tm2 0.2500 0.0845 0.0000
Tm3 0.7500 0.9155 0.0000
Tm4 0.9155 0.7500 0.0000
Cd1 0.0881 0.4492 0.5000
Cd2 0.1280 0.8720 0.5000
Cd3 0.2868 0.2868 0.5000
Cd4 0.3192 0.6808 0.5000
Cd5 0.4492 0.0881 0.5000
Cd6 0.5000 0.5000 0.5000
Cd7 0.5508 0.9119 0.5000
Cd8 0.6808 0.3192 0.5000
Cd9 0.7132 0.7132 0.5000
Cd10 0.8720 0.1280 0.5000
Cd11 0.9119 0.5508 0.5000

Its crystal system is orthorhombic. The formation enthalpy at 0 K is -0.223 eV/atom. As for the symmetry: Cmmm (65).

***

| no. | total DFT energy (no corrections) (hartree per atom) |
| --- | --- |
| 1 | -0.26014 |
| 2 | -0.17989 |
| 3 | -0.21619 |
| 4 | -0.28747 |
| 5 | -0.18059 |
| 6 | -0.06292 |
| 7 | -0.17969 |
| 8 | -0.06787 |
| 9 | -0.27616 |
| 10 | -0.16201 |
| 11 | -0.36982 |
| 12 | -0.11387 |